! CrPbSe4 | the Alexandria database | GGA-PBE | relaxed; values from VASP
&SYSTEM
  ibrav = 0, nat = 6, ntyp = 3
/
ATOMIC_SPECIES
Pb 207.20 Pb.upf
Se 78.96 Se.upf
Cr 52.00 Cr.upf
CELL_PARAMETERS angstrom
0.000 4.132 4.132
4.132 0.000 4.132
4.132 4.132 0.000
ATOMIC_POSITIONS angstrom
Pb 0.000 0.000 0.000
Se 3.105 5.159 5.159
Se 3.105 3.105 3.105
Se 5.159 3.105 5.159
Se 5.159 5.159 3.105
Cr 6.198 6.198 6.198
! - Spin magnetization: 5.19 Bohr magnetons per cell
! - Electronic total energy: -3.9969 eV/atom
! - Volume: 23.5 Å³/atom